w.
An optimized crystal structure of BeHgN2F, computed with GGA-PBE.

Structure (extended XYZ):
```
5
Lattice="3.6813 0.0000 0.0000 0.0000 3.6813 0.0000 0.0000 0.0000 3.7889" Properties=species:S:1:pos:R:3 pbc="T T T"
Be 0.0000 0.0000 0.0000
F 0.0000 0.0000 1.8944
N 1.8406 0.0000 0.0000
Hg 1.8406 1.8406 1.8944
N 0.0000 1.8406 0.0000
```

Calculated values
Theoretical density   8.3 g cm⁻³
Space-group type   P4/mmm, No. 123
Density of states at the Fermi level   1.54 states/eV/cell
Volume   10.269 A^3/atom

---

x.
An optimized crystal structure of BeHgN2F, computed with GGA-PBE.

Structure (extended XYZ):
```
5
Lattice="4.1715 0.0000 0.0000 0.0000 4.1715 0.0000 0.0000 0.0000 4.5957" Properties=species:S:1:pos:R:3 pbc="T T T"
N 2.0857 0.0000 0.0000
F 0.0000 0.0000 2.2978
Be 2.0857 2.0857 2.2978
N 0.0000 2.0857 0.0000
Hg 0.0000 0.0000 0.0000
```

Calculated values
Theoretical density   5.3 g cm⁻³
Space-group type   P4/mmm, No. 123
Density of states at the Fermi level   1.63 states/eV/cell
Volume   15.994 A^3/atom

---

The least stable of them is x.

---

w.
An optimized crystal structure of BeHgOF2, computed with GGA-PBE.

Structure (extended XYZ):
```
5
Lattice="-3.6109 1.0789 -2.3682 2.0923 -1.2049 -3.7392 -1.4675 -3.9326 0.4460" Properties=species:S:1:pos:R:3 pbc="T T T"
F -1.8055 0.5394 -1.1841
F 1.0461 -0.6024 -1.8696
Be -1.4931 -2.0293 -2.8306
Hg 0.0000 0.0000 0.0000
O -0.7337 -1.9663 0.2230
```

Calculated values
Theoretical density   5.2 g cm⁻³
Space-group type   P4/mmm, No. 123
Density of states at the Fermi level   2.84 states/eV/cell
Volume   16.725 A^3/atom

---

x.
An optimized crystal structure of BeHgOF2, computed with GGA-PBE.

Structure (extended XYZ):
```
5
Lattice="3.3453 0.0000 0.0000 0.0000 3.3453 0.0000 0.0000 0.0000 4.8939" Properties=species:S:1:pos:R:3 pbc="T T T"
F 1.6726 0.0000 0.0000
O 0.0000 0.0000 2.4469
Be 0.0000 0.0000 0.0000
F 0.0000 1.6726 0.0000
Hg 1.6726 1.6726 2.4469
```

Calculated values
Theoretical density   8.0 g cm⁻³
Space-group type   P4/mmm, No. 123
Density of states at the Fermi level   0.39 states/eV/cell
Volume   10.953 A^3/atom

---

The least stable of them is w.

---

w.
An optimized crystal structure of Be3IF, computed with GGA-PBE.

Structure (extended XYZ):
```
5
Lattice="4.2239 0.0000 0.0000 0.0000 4.2239 0.0000 0.0000 0.0000 4.2239" Properties=species:S:1:pos:R:3 pbc="T T T"
F 0.0000 0.0000 0.0000
Be 2.1120 0.0000 0.0000
Be 0.0000 2.1120 0.0000
I 2.1120 2.1120 2.1120
Be 0.0000 0.0000 2.1120
```

Calculated values
Theoretical density   3.8 g cm⁻³
Space-group type   Pm-3m, No. 221
Density of states at the Fermi level   3.52 states/eV/cell
Volume   15.072 A^3/atom

---

x.
An optimized crystal structure of Be3IF, computed with GGA-PBE.

Structure (extended XYZ):
```
5
Lattice="5.0130 0.0000 0.0000 0.0000 5.0130 0.0000 0.0000 0.0000 5.0130" Properties=species:S:1:pos:R:3 pbc="T T T"
Be 0.0000 2.5065 0.0000
Be 2.5065 0.0000 0.0000
I 0.0000 0.0000 0.0000
F 2.5065 2.5065 2.5065
Be 0.0000 0.0000 2.5065
```

Calculated values
Theoretical density   2.3 g cm⁻³
Space-group type   Pm-3m, No. 221
Density of states at the Fermi level   2.46 states/eV/cell
Volume   25.196 A^3/atom

---

The least stable of them is x.

---

w.
An optimized crystal structure of BeIN2F, computed with GGA-PBE.

Structure (extended XYZ):
```
5
Lattice="-1.3961 3.3336 1.4512 -0.4636 -1.7051 3.4707 3.1136 0.9251 0.8703" Properties=species:S:1:pos:R:3 pbc="T T T"
N -0.2318 -0.8525 1.7353
F 1.5568 0.4625 0.4352
Be 0.0000 0.0000 0.0000
N -0.6980 1.6668 0.7256
I 0.6270 1.2768 2.8961
```

Calculated values
Theoretical density   6.0 g cm⁻³
Space-group type   P4/mmm, No. 123
Density of states at the Fermi level   1.40 states/eV/cell
Volume   10.201 A^3/atom

---

x.
An optimized crystal structure of BeIN2F, computed with GGA-PBE.

Structure (extended XYZ):
```
5
Lattice="4.0909 0.0000 0.0000 0.0000 4.0909 0.0000 0.0000 0.0000 4.3547" Properties=species:S:1:pos:R:3 pbc="T T T"
I 0.0000 0.0000 0.0000
N 2.0455 0.0000 0.0000
F 0.0000 0.0000 2.1773
N 0.0000 2.0455 0.0000
Be 2.0455 2.0455 2.1773
```

Calculated values
Theoretical density   4.2 g cm⁻³
Space-group type   P4/mmm, No. 123
Density of states at the Fermi level   2.93 states/eV/cell
Volume   14.576 A^3/atom

---

y.
An optimized crystal structure of BeIN2F, computed with GGA-PBE.

Structure (extended XYZ):
```
5
Lattice="-1.9174 2.0427 2.5765 0.7519 -2.6312 2.6455 5.3853 3.0985 1.5512" Properties=species:S:1:pos:R:3 pbc="T T T"
N -0.9587 1.0213 1.2883
N 0.3759 -1.3156 1.3228
I 2.6926 1.5493 0.7756
Be 2.1099 1.2550 3.3866
F 0.0000 0.0000 0.0000
```

Calculated values
Theoretical density   3.3 g cm⁻³
Space-group type   P4/mmm, No. 123
Density of states at the Fermi level   0.86 states/eV/cell
Volume   18.555 A^3/atom

---

z.
An optimized crystal structure of BeIN2F, computed with GGA-PBE.

Structure (extended XYZ):
```
5
Lattice="-1.3731 0.1828 -3.1388 -2.1120 -2.5908 0.7731 -4.8070 4.6266 2.3722" Properties=species:S:1:pos:R:3 pbc="T T T"
I -2.4035 2.3133 1.1861
F -4.1461 1.1093 0.0033
N -1.0560 -1.2954 0.3865
N -0.6865 0.0914 -1.5694
Be 0.0000 0.0000 0.0000
```

Calculated values
Theoretical density   3.6 g cm⁻³
Space-group type   P4/mmm, No. 123
Density of states at the Fermi level   3.52 states/eV/cell
Volume   16.670 A^3/atom

---

The least stable of them is y.

---

w.
An optimized crystal structure of BeTeI2F, computed with GGA-PBE.

Structure (extended XYZ):
```
5
Lattice="5.8808 0.0000 0.0000 0.0000 5.8808 0.0000 0.0000 0.0000 4.2309" Properties=species:S:1:pos:R:3 pbc="T T T"
Be 2.9404 2.9404 2.1155
I 2.9404 0.0000 0.0000
F 0.0000 0.0000 0.0000
I 0.0000 2.9404 0.0000
Te 0.0000 0.0000 2.1155
```

Calculated values
Theoretical density   4.6 g cm⁻³
Space-group type   P4/mmm, No. 123
Density of states at the Fermi level   4.45 states/eV/cell
Volume   29.265 A^3/atom

---

x.
An optimized crystal structure of BeTeI2F, computed with GGA-PBE.

Structure (extended XYZ):
```
5
Lattice="-2.7553 5.0879 -1.4484 -0.8106 -1.6828 -4.3693 -5.1912 -2.2864 1.8437" Properties=species:S:1:pos:R:3 pbc="T T T"
F -4.3786 0.5594 -1.9870
Te 0.0000 0.0000 0.0000
I -2.5956 -1.1432 0.9218
Be -0.4053 -0.8414 -2.1847
I -1.3776 2.5439 -0.7242
```

Calculated values
Theoretical density   4.0 g cm⁻³
Space-group type   P4/mmm, No. 123
Density of states at the Fermi level   5.68 states/eV/cell
Volume   33.810 A^3/atom

---

y.
An optimized crystal structure of BeTeI2F, computed with GGA-PBE.

Structure (extended XYZ):
```
5
Lattice="5.1429 0.0000 0.0000 0.0000 5.1429 0.0000 0.0000 0.0000 4.9287" Properties=species:S:1:pos:R:3 pbc="T T T"
I 2.5714 0.0000 0.0000
I 0.0000 2.5714 0.0000
F 2.5714 2.5714 2.4643
Be 0.0000 0.0000 0.0000
Te 0.0000 0.0000 2.4643
```

Calculated values
Theoretical density   5.2 g cm⁻³
Space-group type   P4/mmm, No. 123
Density of states at the Fermi level   4.83 states/eV/cell
Volume   26.072 A^3/atom

---

The least stable of them is w.

---

w.
An optimized crystal structure of BeTe2IF, computed with GGA-PBE.

Structure (extended XYZ):
```
5
Lattice="-3.9217 -1.0567 2.0944 1.5864 -4.2002 0.8513 2.7753 2.3409 6.3778" Properties=species:S:1:pos:R:3 pbc="T T T"
Te -1.9609 -0.5284 1.0472
I 1.3876 1.1704 3.1889
Be 0.2200 -1.4580 4.6618
F 0.0000 0.0000 0.0000
Te 0.7932 -2.1001 0.4257
```

Calculated values
Theoretical density   4.4 g cm⁻³
Space-group type   P4/mmm, No. 123
Density of states at the Fermi level   3.82 states/eV/cell
Volume   30.652 A^3/atom

---

x.
An optimized crystal structure of BeTe2IF, computed with GGA-PBE.

Structure (extended XYZ):
```
5
Lattice="-3.2166 0.7183 3.6508 1.2301 -4.3492 1.9395 3.6630 2.2756 2.7797" Properties=species:S:1:pos:R:3 pbc="T T T"
Te 0.6150 -2.1746 0.9698
F 0.8382 -0.6777 4.1850
Be 0.0000 0.0000 0.0000
I 1.8315 1.1378 1.3898
Te -1.6083 0.3592 1.8254
```

Calculated values
Theoretical density   5.5 g cm⁻³
Space-group type   P4/mmm, No. 123
Density of states at the Fermi level   4.55 states/eV/cell
Volume   24.822 A^3/atom

---

The least stable of them is w.

---

w.
An optimized crystal structure of Be2InF, computed with GGA-PBE.

Structure (extended XYZ):
```
4
Lattice="4.2293 -0.8758 0.3911 1.8935 0.1477 3.8987 1.2860 -3.6664 1.9262" Properties=species:S:1:pos:R:3 pbc="T T T"
In 3.7044 -2.1973 3.1080
F 0.0000 0.0000 0.0000
Be 1.8522 -1.0986 1.5540
Be 5.5566 -3.2959 4.6620
```

Calculated values
Theoretical density   4.4 g cm⁻³
Space-group type   Fm-3m, No. 225
Density of states at the Fermi level   2.44 states/eV/cell
Volume   14.418 A^3/atom

---

x.
An optimized crystal structure of Be2InF, computed with GGA-PBE.

Structure (extended XYZ):
```
8
Lattice="4.3839 0.0000 0.0000 0.0000 4.3839 0.0000 2.1919 2.1919 5.8188" Properties=species:S:1:pos:R:3 pbc="T T T"
In 0.0000 0.0000 0.0000
In 4.3839 2.1919 2.9094
F 2.1919 4.3839 2.9094
Be 3.2879 4.3847 4.3641
F 2.1919 2.1919 0.0000
Be 2.1911 1.0960 1.4547
Be 2.1928 3.2879 1.4547
Be 5.4799 4.3830 4.3641
```

Calculated values
Theoretical density   4.5 g cm⁻³
Space-group type   I4_1/amd, No. 141
Density of states at the Fermi level   2.82 states/eV/cell
Volume   13.979 A^3/atom

---

The least stable of them is w.

---

w.
An optimized crystal structure of BeInF3, computed with GGA-PBE.

Structure (extended XYZ):
```
20
Lattice="4.7563 0.0000 0.0000 0.0000 5.7280 0.0000 0.0000 0.0000 11.3550" Properties=species:S:1:pos:R:3 pbc="T T T"
F 2.4431 3.0918 9.8363
F 0.0650 5.5003 9.8363
In 0.0000 2.8640 0.0000
Be 2.1727 2.3700 8.5162
F 2.3132 2.6362 4.1588
In 0.0000 2.8640 5.6775
F 2.3132 2.6362 1.5187
F 1.7525 4.7521 2.8387
F 4.6913 0.2278 1.5187
F 4.1306 3.8399 2.8387
F 0.6257 1.8881 8.5162
F 2.4431 3.0918 7.1962
Be 2.5835 3.3580 2.8387
In 2.3781 0.0000 5.6775
F 3.0038 0.9759 8.5162
Be 0.2054 5.2340 2.8387
F 4.6913 0.2278 4.1588
F 0.0650 5.5003 7.1962
In 2.3781 0.0000 0.0000
Be 4.5509 0.4940 8.5162
```

Calculated values
Theoretical density   3.9 g cm⁻³
Space-group type   Pnma, No. 62
Density of states at the Fermi level   0.00 states/eV/cell
Volume   15.468 A^3/atom

---

x.
An optimized crystal structure of BeInF3, computed with GGA-PBE.

Structure (extended XYZ):
```
5
Lattice="-1.3256 -0.1715 -4.1017 0.7701 -4.2441 -0.0714 -4.0324 -0.7542 1.3347" Properties=species:S:1:pos:R:3 pbc="T T T"
F 0.3851 -2.1220 -0.0357
In 0.0000 0.0000 0.0000
Be -2.2939 -2.5849 -1.4192
F -0.6628 -0.0858 -2.0508
F -2.0162 -0.3771 0.6674
```

Calculated values
Theoretical density   3.7 g cm⁻³
Space-group type   Pm-3m, No. 221
Density of states at the Fermi level   0.00 states/eV/cell
Volume   16.057 A^3/atom

---

y.
An optimized crystal structure of BeInF3, computed with GGA-PBE.

Structure (extended XYZ):
```
5
Lattice="-3.3818 1.1940 -1.4780 0.1911 -2.7883 -2.6899 -1.8904 -2.4179 2.3721" Properties=species:S:1:pos:R:3 pbc="T T T"
F -0.9452 -1.2090 1.1861
In -2.5405 -2.0061 -0.8979
F 0.0956 -1.3942 -1.3449
F -1.6909 0.5970 -0.7390
Be 0.0000 0.0000 0.0000
```

Calculated values
Theoretical density   5.1 g cm⁻³
Space-group type   Pm-3m, No. 221
Density of states at the Fermi level   0.00 states/eV/cell
Volume   11.673 A^3/atom

---

The least stable of them is x.

---

w.
An optimized crystal structure of BeIn2F, computed with GGA-PBE.

Structure (extended XYZ):
```
8
Lattice="-1.8208 3.3866 3.6299 -4.8459 -0.3729 -2.0829 -4.6318 -3.3635 4.6661" Properties=species:S:1:pos:R:3 pbc="T T T"
Be -3.3334 1.5069 0.7735
F 0.0000 0.0000 0.0000
In -5.9582 -1.3913 4.0864
In -9.3229 0.1132 4.8465
F -4.8930 0.7650 4.5348
In -4.4084 -0.6615 0.3067
In -2.9076 1.2401 3.1866
Be -6.4055 -1.1148 1.6783
```

Calculated values
Theoretical density   4.8 g cm⁻³
Space-group type   I-42d, No. 122
Density of states at the Fermi level   2.23 states/eV/cell
Volume   22.259 A^3/atom

---

x.
An optimized crystal structure of BeIn2F, computed with GGA-PBE.

Structure (extended XYZ):
```
4
Lattice="0.0000 3.2687 3.2687 3.2687 0.0000 3.2687 3.2687 3.2687 0.0000" Properties=species:S:1:pos:R:3 pbc="T T T"
In 1.6344 1.6344 1.6344
In 4.9031 4.9031 4.9031
F 3.2687 3.2687 3.2687
Be 0.0000 0.0000 0.0000
```

Calculated values
Theoretical density   6.1 g cm⁻³
Space-group type   Fm-3m, No. 225
Density of states at the Fermi level   2.33 states/eV/cell
Volume   17.462 A^3/atom

---

The least stable of them is x.

---

w.
An optimized crystal structure of BeInOF2, computed with GGA-PBE.

Structure (extended XYZ):
```
5
Lattice="4.1858 0.0000 0.0000 0.0000 4.1858 0.0000 0.0000 0.0000 4.1805" Properties=species:S:1:pos:R:3 pbc="T T T"
O 0.0000 0.0000 2.0903
Be 2.0929 2.0929 2.0903
In 0.0000 0.0000 0.0000
F 0.0000 2.0929 0.0000
F 2.0929 0.0000 0.0000
```

Calculated values
Theoretical density   4.0 g cm⁻³
Space-group type   P4/mmm, No. 123
Density of states at the Fermi level   0.93 states/eV/cell
Volume   14.649 A^3/atom

---

x.
An optimized crystal structure of BeInOF2, computed with GGA-PBE.

Structure (extended XYZ):
```
5
Lattice="3.4166 0.0000 0.0000 0.0000 3.4166 0.0000 0.0000 0.0000 4.5820" Properties=species:S:1:pos:R:3 pbc="T T T"
F 1.7083 0.0000 0.0000
F 0.0000 1.7083 0.0000
In 1.7083 1.7083 2.2910
O 0.0000 0.0000 2.2910
Be 0.0000 0.0000 0.0000
```

Calculated values
Theoretical density   5.5 g cm⁻³
Space-group type   P4/mmm, No. 123
Density of states at the Fermi level   0.99 states/eV/cell
Volume   10.697 A^3/atom

---

The least stable of them is w.

---

w.
An optimized crystal structure of BeIrF3, computed with GGA-PBE.

Structure (extended XYZ):
```
5
Lattice="3.7235 0.0000 0.0000 0.0000 3.7235 0.0000 0.0000 0.0000 3.7235" Properties=species:S:1:pos:R:3 pbc="T T T"
Be 0.0000 0.0000 0.0000
F 0.0000 1.8617 0.0000
Ir 1.8617 1.8617 1.8617
F 1.8617 0.0000 0.0000
F 0.0000 0.0000 1.8617
```

Calculated values
Theoretical density   8.3 g cm⁻³
Space-group type   Pm-3m, No. 221
Density of states at the Fermi level   4.09 states/eV/cell
Volume   10.325 A^3/atom

---

x.
An optimized crystal structure of BeIrF3, computed with GGA-PBE.

Structure (extended XYZ):
```
5
Lattice="4.1982 0.0000 0.0000 0.0000 4.1982 0.0000 0.0000 0.0000 4.1982" Properties=species:S:1:pos:R:3 pbc="T T T"
Be 2.0991 2.0991 2.0991
F 2.0991 0.0000 0.0000
F 0.0000 0.0000 2.0991
F 0.0000 2.0991 0.0000
Ir 0.0000 0.0000 0.0000
```

Calculated values
Theoretical density   5.8 g cm⁻³
Space-group type   Pm-3m, No. 221
Density of states at the Fermi level   9.17 states/eV/cell
Volume   14.798 A^3/atom

---

The least stable of them is x.

---

w.
An optimized crystal structure of BeIr2F, computed with GGA-PBE.

Structure (extended XYZ):
```
8
Lattice="3.7048 0.0000 0.0000 0.0000 3.7048 0.0000 1.8524 1.8524 7.9596" Properties=species:S:1:pos:R:3 pbc="T T T"
Ir 4.6310 4.5517 5.9697
Ir 1.0055 2.7786 1.9899
F 3.7048 1.8524 3.9798
Ir 2.7786 2.8579 5.9697
Be 1.8524 3.7048 3.9798
Be 1.8524 1.8524 0.0000
F 0.0000 0.0000 0.0000
Ir 2.6993 0.9262 1.9899
```

Calculated values
Theoretical density   12.5 g cm⁻³
Space-group type   I-42d, No. 122
Density of states at the Fermi level   9.85 states/eV/cell
Volume   13.656 A^3/atom

---

x.
An optimized crystal structure of BeIr2F, computed with GGA-PBE.

Structure (extended XYZ):
```
4
Lattice="-1.9635 2.9190 1.9982 -0.8857 3.4818 -1.8606 -3.8367 0.8698 -0.9448" Properties=species:S:1:pos:R:3 pbc="T T T"
Ir -5.0145 5.4529 -0.6053
F -3.3430 3.6353 -0.4036
Be 0.0000 0.0000 0.0000
Ir -1.6715 1.8176 -0.2018
```

Calculated values
Theoretical density   14.6 g cm⁻³
Space-group type   Fm-3m, No. 225
Density of states at the Fermi level   5.93 states/eV/cell
Volume   11.707 A^3/atom

---

The least stable of them is w.